Rb2MnHgO: relaxed, PBE+U.

Results
E ... -17.5 eV/f.u.

Geometry as POSCAR:
```
Rb2MnHgO
1.0
6.510 0.000 0.000
0.000 6.510 0.000
0.000 0.000 3.855
Rb Mn Hg O
2 1 1 1
Cartesian
0.000 3.255 0.000
3.255 0.000 0.000
0.000 0.000 1.927
3.255 3.255 1.927
0.000 0.000 0.000
```